DFT (PBE with a Hubbard U) results for a relaxed V2CoRhO8 crystal.

The structure belongs to space group P-3m1 (No. 164); the cell edges are 5.6254, 5.6254 and 5.3657 Å and the angles 90.00°, 90.00° and 120.00°. The asymmetric unit holds V at (0.3333, 0.6667, 0.1630), Co at (0.0000, 0.0000, 0.0000), Rh at (0.0000, 0.0000, 0.5000), O at (0.1508, 0.3015, 0.2365) and O at (0.3333, 0.6667, 0.8627).

The total energy is -6.8509 eV per atom.